[1]
First-principles (PBE-GGA) data for a relaxed TiP2SeCl crystal, as listed in the Alexandria database.

Computed properties:
The energy is -0.3448 Ry per atom. As for the density of states at the Fermi level: 3.7 states/eV/f.u. Its excess energy over the best structure of this formula in the dataset is 0 kJ/mol of formula units. As for the uncorrected formation energy: 0.12 eV per atom.

Lattice parameters (Å, degrees): 4.8628 4.8628 4.5224 90.00 90.00 90.00
Closest atoms and distances in Å follow each position.
Space group P4/mmm (No. 123)
Asymmetric unit:
Ti1 0.0000 0.0000 0.0000 x1  2 Cl 2.26, 4 P 2.43
P1 0.0000 0.5000 0.0000 x2  2 Ti 2.43
Se1 0.5000 0.5000 0.5000 x1  8 P 3.32, 4 Cl 3.44
Cl1 0.0000 0.0000 0.5000 x1  2 Ti 2.26

---

[2]
First-principles (PBE-GGA) data for a relaxed Fe2CoP crystal, as listed in the Alexandria database.

Computed properties:
The energy is -0.5620 Ry per atom. As for the density of states at the Fermi level: 3.5 states/eV/f.u. The calculation puts the energy relative to the elements at -0.2855 eV per atom.

Lattice parameters (Å, degrees): 5.5435 6.9265 4.6643 90.00 90.00 90.00
Closest atoms and distances in Å follow each position.
Space group Pnma (No. 62)
Asymmetric unit:
Fe1 0.1823 0.0534 0.1566 x8  3 P 2.22-2.33
Co1 0.0067 0.2500 0.6102 x4  2 P 2.16-2.20
P1 0.1202 0.7500 0.9517 x4  2 Co 2.16-2.20, 6 Fe 2.22-2.33

---

[3]
First-principles (PBE-GGA) data for a relaxed Na2HgI2Cl2 crystal, as listed in the Alexandria database.

Computed properties:
The energy is -0.1778 Ry per atom. As for the density of states at the Fermi level: 0.0 states/eV/f.u. As for the uncorrected formation energy: -1.03 eV per atom.

Lattice parameters (Å, degrees): 14.6368 4.4050 7.6565 90.00 110.05 90.00
Closest atoms and distances in Å follow each position.
Space group C2/m (No. 12)
Asymmetric unit:
Na1 0.2431 0.0000 0.2117 x4  3 Cl 2.74-2.78
Hg1 0.0000 0.0000 0.5000 x2  2 Cl 2.74, 4 I 3.06
I1 0.1003 0.5000 0.3544 x4  2 Hg 3.06, 1 Na 3.33
Cl1 0.1547 0.0000 0.8276 x4  3 Na 2.74-2.78, 1 Hg 2.74

---

[4]
First-principles (PBE-GGA) data for a relaxed LaMg5Sc4 crystal, as listed in the Alexandria database.

Computed properties:
The energy is -0.2842 Ry per atom. As for the density of states at the Fermi level: 14.2 states/eV/f.u. The calculation puts the energy relative to the elements at -0.0446 eV per atom.

Lattice parameters (Å, degrees): 3.6072 3.6072 19.0012 90.00 90.00 90.00
Closest atoms and distances in Å follow each position.
Space group P4/mmm (No. 123)
Asymmetric unit:
La1 0.0000 0.0000 0.0000 x1  8 Mg 3.46, 4 La 3.61
Mg1 0.5000 0.5000 0.1230 x2  4 Sc 3.13, 4 La 3.46
Mg2 0.5000 0.5000 0.3117 x2  8 Sc 3.10-3.11
Mg3 0.5000 0.5000 0.5000 x1  8 Sc 3.12
Sc1 0.0000 0.0000 0.2188 x2  8 Mg 3.10-3.13
Sc2 0.0000 0.0000 0.4057 x2  8 Mg 3.11-3.12

---

[5]
First-principles (PBE-GGA) data for a relaxed K3Er2UTe6 crystal, as listed in the Alexandria database.

Computed properties:
The energy is -0.3482 Ry per atom. As for the density of states at the Fermi level: 10.4 states/eV/f.u. As for the uncorrected formation energy: -1.19 eV per atom.

Lattice parameters (Å, degrees): 7.7944 13.5014 8.6520 90.00 107.49 90.00
Closest atoms and distances in Å follow each position.
Space group C2/m (No. 12)
Asymmetric unit:
K1 0.0000 0.0000 0.0000 x2  6 Te 3.50-3.56
K2 0.0000 0.3349 0.0000 x4  6 Te 3.51-3.56
Er1 0.0000 0.1668 0.5000 x4  6 Te 3.10
U1 0.0000 0.5000 0.5000 x2  6 Te 3.16
Te1 0.2297 0.0000 0.7088 x4  2 Er 3.10, 1 U 3.16
Te2 0.2397 0.3301 0.7092 x8  2 Er 3.10, 1 U 3.16

---

[6]
First-principles (PBE-GGA) data for a relaxed BaScTe2I crystal, as listed in the Alexandria database.

Computed properties:
The energy is -0.2334 Ry per atom. As for the density of states at the Fermi level: 8.3 states/eV/f.u. Its excess energy over the best structure of this formula in the dataset is 641 kJ/mol of formula units. As for the uncorrected formation energy: 0.04 eV per atom.

Lattice parameters (Å, degrees): 6.4147 6.4147 6.3700 90.00 90.00 90.00
Closest atoms and distances in Å follow each position.
Space group P4/mmm (No. 123)
Asymmetric unit:
Ba1 0.0000 0.0000 0.0000 x1  2 I 3.18, 4 Te 3.21
Sc1 0.5000 0.5000 0.5000 x1  8 Te 4.52, 4 I 4.54
Te1 0.0000 0.5000 0.0000 x2  2 Ba 3.21
I1 0.0000 0.0000 0.5000 x1  2 Ba 3.18

---

[7]
First-principles (PBE-GGA) data for a relaxed AlCrRh2 crystal, as listed in the Alexandria database.

Computed properties:
The energy is -0.5461 Ry per atom. As for the density of states at the Fermi level: 2.7 states/eV/f.u. The calculation puts the energy relative to the elements at -0.4125 eV per atom.

Lattice parameters (Å, degrees): 3.7028 3.7028 8.0917 90.00 90.00 90.00
Closest atoms and distances in Å follow each position.
Space group I-4m2 (No. 119)
Asymmetric unit:
Al1 0.0000 0.0000 0.0000 x2  8 Rh 2.62-2.74, 4 Cr 2.74
Cr1 0.0000 0.5000 0.7500 x2  8 Rh 2.62-2.74, 4 Al 2.74
Rh1 0.0000 0.0000 0.5000 x2  4 Al 2.62, 4 Cr 2.74, 4 Rh 2.74
Rh2 0.0000 0.5000 0.2500 x2  4 Cr 2.62, 4 Al 2.74, 4 Rh 2.74

---

[8]
First-principles (PBE-GGA) data for a relaxed Tl2ZnSe crystal, as listed in the Alexandria database.

Computed properties:
The energy is -0.1863 Ry per atom. As for the density of states at the Fermi level: 1.0 states/eV/f.u. Its excess energy over the best structure of this formula in the dataset is 9 kJ/mol of formula units. As for the uncorrected formation energy: -0.16 eV per atom.

Lattice parameters (Å, degrees): 4.3000 3.9364 6.8439 90.00 108.10 90.00
Closest atoms and distances in Å follow each position.
Space group Pm (No. 6)
Asymmetric unit:
Tl1 0.0000 0.0000 0.0000 x1  4 Se 3.27, 1 Zn 3.40
Tl2 0.3261 0.5000 0.6509 x1  4 Zn 3.12-3.13, 1 Se 3.48
Zn1 0.7431 0.0000 0.4775 x1  2 Se 2.55
Se1 0.6124 0.5000 0.2286 x1  2 Zn 2.55

---

[9]
First-principles (PBE-GGA) data for a relaxed LaTbTm crystal, as listed in the Alexandria database.

Computed properties:
The energy is -0.3420 Ry per atom. As for the density of states at the Fermi level: 4.0 states/eV/f.u. Its excess energy over the best structure of this formula in the dataset is 0 kJ/mol of formula units. The calculation puts the energy relative to the elements at 0.0228 eV per atom.

Lattice parameters (Å, degrees): 3.6029 3.6029 8.7762 90.00 90.00 120.00
Closest atoms and distances in Å follow each position.
Space group P3m1 (No. 156)
Asymmetric unit:
La1 0.0000 0.0000 0.0000 x1  6 La 3.60, 3 Tm 3.61, 3 Tb 3.66
Tb1 0.3333 0.6667 0.6568 x1  3 Tm 3.50, 6 Tb 3.60, 3 La 3.66
Tm1 0.6667 0.3333 0.3360 x1  3 Tb 3.50, 6 Tm 3.60, 3 La 3.61

---

[10]
First-principles (PBE-GGA) data for a relaxed LaPuNiAg crystal, as listed in the Alexandria database.

Computed properties:
The energy is -0.5137 Ry per atom. As for the density of states at the Fermi level: 13.1 states/eV/f.u. The calculation puts the energy relative to the elements at -0.0167 eV per atom.

Lattice parameters (Å, degrees): 7.2401 7.2401 7.2401 90.00 90.00 90.00
Closest atoms and distances in Å follow each position.
Space group F-43m (No. 216)
Asymmetric unit:
La1 0.0000 0.0000 0.0000 x4  4 Ag 3.14, 4 Ni 3.14
Pu1 0.0000 0.0000 0.5000 x4  4 Ni 3.14, 4 Ag 3.14
Ni1 0.2500 0.2500 0.7500 x4  4 La 3.14, 4 Pu 3.14
Ag1 0.2500 0.2500 0.2500 x4  4 Pu 3.14, 4 La 3.14

---

[11]
First-principles (PBE-GGA) data for a relaxed Pm3ReSe2O6 crystal, as listed in the Alexandria database.

Computed properties:
The energy is -0.5358 Ry per atom. As for the density of states at the Fermi level: 0.4 states/eV/f.u. As for the uncorrected formation energy: -2.00 eV per atom.

Lattice parameters (Å, degrees): 12.2716 6.7850 5.3553 90.00 96.66 90.00
Closest atoms and distances in Å follow each position.
Space group C2/m (No. 12)
Asymmetric unit:
Pm1 0.0000 0.0000 0.0000 x2  4 O 2.55, 2 Se 2.74
Pm2 0.2500 0.2500 0.5000 x4  4 O 2.34-2.58
Re1 0.0000 0.5000 0.5000 x2  6 O 1.90-1.94
Se1 0.2139 0.0000 0.8981 x4  3 Pm 2.74-2.80, 1 O 2.75
O1 0.0504 0.2890 0.2961 x8  1 Re 1.94
O2 0.1465 0.5000 0.6607 x4  1 Re 1.90

---

[12]
First-principles (PBE-GGA) data for a relaxed PmHo2Pt2 crystal, as listed in the Alexandria database.

Computed properties:
The energy is -0.4576 Ry per atom. As for the density of states at the Fermi level: 3.2 states/eV/f.u. The calculation puts the energy relative to the elements at -1.0283 eV per atom.

Lattice parameters (Å, degrees): 5.4347 4.6270 10.4841 90.00 99.05 90.00
Closest atoms and distances in Å follow each position.
Space group P2_1/m (No. 11)
Asymmetric unit:
Pm1 0.0852 0.2500 0.2846 x2  5 Pt 3.01-3.07
Ho1 0.2550 0.2500 0.9697 x2  4 Pt 2.87-2.94
Ho2 0.3915 0.2500 0.6164 x2  5 Pt 2.79-2.97
Pt1 0.1544 0.7500 0.4754 x2  4 Ho 2.79-2.97, 2 Pt 2.95, 3 Pm 3.01-3.04
Pt2 0.2730 0.7500 0.1335 x2  5 Ho 2.87-2.95, 2 Pm 3.07